Record 1
LaTcN3 after structural relaxation. Source: Alexandria, functional PBE-GGA.

Summary:
The formation energy (no corrections) comes out at -572 meV per atom. Its space-group type is No. 15. The calculation puts the total energy at -86.26 eV/cell. The calculation puts the density of states at the Fermi level at 1.95 states/eV/f.u.

a = 5.5831 Å, b = 5.6012 Å, c = 5.5834 Å
α = 59.96°, β = 60.81°, γ = 59.96°
Fractional coordinates of all 10 atoms:
N 0.7785 0.2172 0.2828
N 0.2215 0.7828 0.7172
N 0.6928 0.2498 0.8072
N 0.2171 0.2829 0.7214
N 0.7829 0.7171 0.2786
N 0.3072 0.7500 0.1928
Tc 0.5000 0.5000 0.5000
Tc 0.0000 0.0000 0.0000
La 0.2465 0.2501 0.2535
La 0.7535 0.7501 0.7465



Record 2
La5TcN6 after structural relaxation. Source: Alexandria, functional PBE-GGA.

Summary:
The formation energy (no corrections) comes out at -970 meV per atom. Its space-group type is No. 12. The calculation puts the total energy at -96.60 eV/cell. The calculation puts the density of states at the Fermi level at 4.02 states/eV/f.u.

a = 6.2160 Å, b = 6.2644 Å, c = 6.2524 Å
α = 59.94°, β = 80.36°, γ = 70.48°
Fractional coordinates of all 12 atoms:
La 0.5000 0.1624 0.6752
La 0.0000 0.3324 0.3352
La 0.5000 0.5000 0.0000
La 0.0000 0.6676 0.6648
La 0.5000 0.8376 0.3248
Tc 0.0000 0.0000 0.0000
N 0.7713 0.0766 0.3009
N 0.2287 0.6225 0.3009
N 0.2424 0.2277 0.0000
N 0.7576 0.7723 0.0000
N 0.7713 0.3775 0.6991
N 0.2287 0.9234 0.6991



Record 3
La2TcN3 after structural relaxation. Source: Alexandria, functional PBE-GGA.

Summary:
The formation energy (no corrections) comes out at -1006 meV per atom. Its space-group type is No. 71. The calculation puts the total energy at -51.23 eV/cell. The calculation puts the density of states at the Fermi level at 3.75 states/eV/f.u.

a = 3.9498 Å, b = 3.6086 Å, c = 7.0760 Å
α = 104.77°, β = 106.21°, γ = 90.00°
Fractional coordinates of all 6 atoms:
La 0.8529 0.6434 0.7058
La 0.1471 0.9376 0.2942
Tc 0.5000 0.2905 0.0000
N 0.0000 0.2905 0.0000
N 0.3422 0.1326 0.6844
N 0.6578 0.4482 0.3156



Record 4
LaTcN3 after structural relaxation. Source: Alexandria, functional PBE-GGA.

Summary:
The formation energy (no corrections) comes out at -474 meV per atom. Its space-group type is No. 15. The calculation puts the total energy at -170.56 eV/cell. The calculation puts the density of states at the Fermi level at 0.18 states/eV/f.u.

a = 12.0520 Å, b = 7.6795 Å, c = 7.6795 Å
α = 87.76°, β = 128.97°, γ = 51.03°
Fractional coordinates of all 20 atoms:
N 0.4383 0.3903 0.5062
N 0.0617 0.0062 0.8903
N 0.5617 0.6097 0.4938
N 0.9383 0.9938 0.1097
N 0.0173 0.2726 0.1620
N 0.4827 0.6620 0.7726
N 0.9827 0.7274 0.8380
N 0.5173 0.3380 0.2274
N 0.6363 0.8933 0.9054
N 0.8637 0.4054 0.3933
N 0.3637 0.1067 0.0946
N 0.1363 0.5946 0.6067
Tc 0.7500 0.2010 0.7010
Tc 0.2500 0.7990 0.2990
Tc 0.7500 0.5525 0.0525
Tc 0.2500 0.4475 0.9475
La 0.1624 0.4479 0.3298
La 0.3376 0.8298 0.9479
La 0.8376 0.5521 0.6702
La 0.6624 0.1702 0.0521



Record 5
LaTcN3 after structural relaxation. Source: Alexandria, functional PBE-GGA.

Summary:
The formation energy (no corrections) comes out at -446 meV per atom. Its space-group type is No. 1. The calculation puts the total energy at -85.00 eV/cell. The calculation puts the density of states at the Fermi level at 1.58 states/eV/f.u.

a = 3.7114 Å, b = 5.7783 Å, c = 6.3268 Å
α = 82.56°, β = 80.16°, γ = 89.00°
Fractional coordinates of all 10 atoms:
N 0.3116 0.5407 0.2746
N 0.4282 0.5157 0.8580
N 0.8045 0.1629 0.2030
N 0.4681 0.5448 0.4454
N 0.5610 0.0597 0.3678
N 0.4144 0.0166 0.8564
Tc 0.4844 0.7897 0.6441
Tc 0.3419 0.2526 0.0780
La 0.8652 0.7559 0.0766
La 0.9436 0.2826 0.6137



Record 6
LaTcN3 after structural relaxation. Source: Alexandria, functional PBE-GGA.

Summary:
The formation energy (no corrections) comes out at 104 meV per atom. Its space-group type is No. 194. The calculation puts the total energy at -79.50 eV/cell. The calculation puts the density of states at the Fermi level at 3.17 states/eV/f.u.

a = 4.0925 Å, b = 4.0925 Å, c = 8.3195 Å
α = 90.00°, β = 90.00°, γ = 120.00°
Fractional coordinates of all 10 atoms:
N 0.0000 0.0000 0.2500
N 0.0000 0.0000 0.7500
N 0.3333 0.6667 0.0420
N 0.3333 0.6667 0.4580
N 0.6667 0.3333 0.5420
N 0.6667 0.3333 0.9580
Tc 0.0000 0.0000 0.0000
Tc 0.0000 0.0000 0.5000
La 0.3333 0.6667 0.7500
La 0.6667 0.3333 0.2500



Record 7
LaTcN3 after structural relaxation. Source: Alexandria, functional PBE-GGA.

Summary:
The formation energy (no corrections) comes out at -605 meV per atom. Its space-group type is No. 15. The calculation puts the total energy at -173.18 eV/cell. The calculation puts the density of states at the Fermi level at 0.65 states/eV/f.u.

a = 10.6442 Å, b = 7.4423 Å, c = 7.4423 Å
α = 92.91°, β = 126.92°, γ = 53.08°
Fractional coordinates of all 20 atoms:
N 0.3397 0.4288 0.3411
N 0.1603 0.8411 0.9288
N 0.6603 0.5712 0.6589
N 0.8397 0.1589 0.0712
N 0.1424 0.2410 0.2855
N 0.3576 0.7855 0.7410
N 0.8576 0.7590 0.7145
N 0.6424 0.2145 0.2590
N 0.4861 0.1529 0.8168
N 0.0139 0.3168 0.6529
N 0.5139 0.8471 0.1832
N 0.9861 0.6832 0.3471
Tc 0.2497 0.3697 0.4513
Tc 0.2503 0.9513 0.8697
Tc 0.7503 0.6303 0.5487
Tc 0.7497 0.0487 0.1303
La 0.7500 0.1547 0.6547
La 0.2500 0.8453 0.3453
La 0.7500 0.5725 0.0725
La 0.2500 0.4275 0.9275



Record 8
LaTcN3 after structural relaxation. Source: Alexandria, functional PBE-GGA.

Summary:
The formation energy (no corrections) comes out at -410 meV per atom. Its space-group type is No. 8. The calculation puts the total energy at -84.64 eV/cell. The calculation puts the density of states at the Fermi level at 1.81 states/eV/f.u.

a = 3.9691 Å, b = 7.0034 Å, c = 5.3737 Å
α = 99.50°, β = 90.00°, γ = 73.54°
Fractional coordinates of all 10 atoms:
N 0.6276 0.4773 0.1176
N 0.0876 0.5572 0.7448
N 0.5569 0.9486 0.5564
N 0.5637 0.6052 0.3468
N 0.2270 0.9486 0.5564
N 0.2767 0.1791 0.1581
Tc 0.0139 0.7046 0.4590
Tc 0.1527 0.4271 0.0377
La 0.4566 0.8193 0.9779
La 0.7390 0.2543 0.4629



Record 9
LaTcN3 after structural relaxation. Source: Alexandria, functional PBE-GGA.

Summary:
The formation energy (no corrections) comes out at -249 meV per atom. Its space-group type is No. 12. The calculation puts the total energy at -83.03 eV/cell. The calculation puts the density of states at the Fermi level at 1.95 states/eV/f.u.

a = 17.3978 Å, b = 7.8587 Å, c = 7.8587 Å
α = 155.86°, β = 156.32°, γ = 23.68°
Fractional coordinates of all 10 atoms:
N 0.9028 0.1238 0.8762
N 0.0972 0.8762 0.1238
N 0.1314 0.1763 0.8237
N 0.8686 0.8237 0.1763
N 0.5471 0.5606 0.4394
N 0.4529 0.4394 0.5606
Tc 0.7266 0.8694 0.1306
Tc 0.2734 0.1306 0.8694
La 0.8355 0.0193 0.9807
La 0.1645 0.9807 0.0193



Record 10
LaTc3N after structural relaxation. Source: Alexandria, functional PBE-GGA.

Summary:
The value obtained for the offset from the most stable computed form is 0.0 meV per atom. The formation energy (no corrections) comes out at 163 meV per atom. Its space-group type is No. 221. The calculation puts the total energy at -43.54 eV/cell. The calculation puts the density of states at the Fermi level at 8.11 states/eV/f.u.

a = 4.2636 Å, b = 4.2636 Å, c = 4.2636 Å
α = 90.00°, β = 90.00°, γ = 90.00°
Fractional coordinates of all 5 atoms:
N 0.0000 0.0000 0.0000
Tc 0.0000 0.5000 0.0000
Tc 0.0000 0.0000 0.5000
Tc 0.5000 0.0000 0.0000
La 0.5000 0.5000 0.5000



Record 11
LaTcN3 after structural relaxation. Source: Alexandria, functional PBE-GGA.

Summary:
The formation energy (no corrections) comes out at -466 meV per atom. Its space-group type is No. 11. The calculation puts the total energy at -85.20 eV/cell. The calculation puts the density of states at the Fermi level at 2.41 states/eV/f.u.

a = 3.9371 Å, b = 5.4975 Å, c = 6.2887 Å
α = 90.00°, β = 96.45°, γ = 90.00°
Fractional coordinates of all 10 atoms:
N 0.5916 0.5002 0.9210
N 0.4084 0.4998 0.0790
N 0.5916 0.9998 0.9210
N 0.4084 0.0002 0.0790
N 0.0440 0.2500 0.6567
N 0.9560 0.7500 0.3433
Tc 0.5440 0.2500 0.6796
Tc 0.4560 0.7500 0.3204
La 0.9616 0.2500 0.2379
La 0.0384 0.7500 0.7621